{"formula": "Ac4Hg5Rh2", "functional": "PBE-GGA", "state": "optimized geometry", "total_energy_ry_per_atom": -0.258, "e_form_ev_per_atom": -0.548, "magmom_total_mub_per_cell": 0.00, "space_group": "P2/m (10)", "dos_at_fermi_per_ev_cell": 6.6, "cell": [[-1.392, -0.598, 3.755], [4.696, -6.461, 0.712], [6.826, 6.260, 3.527]], "species": ["Ac", "Hg", "Ac", "Hg", "Hg", "Rh", "Hg", "Hg", "Rh", "Ac", "Ac"], "frac_coords": [[0.500, 0.815, 0.152], [0.000, 0.550, 0.328], [0.500, 0.224, 0.435], [0.000, 0.168, 0.144], [0.000, 0.832, 0.856], [0.000, 0.925, 0.359], [0.000, 0.450, 0.672], [0.000, 0.500, 0.000], [0.000, 0.075, 0.641], [0.500, 0.776, 0.565], [0.500, 0.185, 0.848]]}